(1)
The following is a DFT calculation (GGA-PBEsol) of a relaxed structure of Sc2BiAu.

## Properties
DOS(E_F) (states/eV per cell): 8.07
Calculated total energy (eV/atom): -5.582
Energy of formation (meV per atom): -227
Spin magnetization (μB per atom): 0.000

The structure in CIF format:
```
data_Sc2BiAu
_chemical_formula_sum 'Sc6 Bi3 Au3'
_space_group_name_H-M_alt 'R -3 m'
_space_group_IT_number 166
_space_group_name_Hall '-R 3 2"'
_cell_length_a 3.6063
_cell_length_b 3.6063
_cell_length_c 28.0183
_cell_angle_alpha 90.00
_cell_angle_beta 90.00
_cell_angle_gamma 120.00
loop_
_atom_site_label
_atom_site_fract_x
_atom_site_fract_y
_atom_site_fract_z
Sc1 0.0000 0.0000 0.1051
Bi1 0.0000 0.0000 0.0000
Au1 0.0000 0.0000 0.5000
```



(2)
The following is a DFT calculation (GGA-PBEsol) of a relaxed structure of Mn2W2Au.

## Properties
DOS(E_F) (states/eV per cell): 11.55
Calculated total energy (eV/atom): -9.646
Energy of formation (meV per atom): 566
Spin magnetization (μB per atom): 0.001

The structure in CIF format:
```
data_Mn2W2Au
_chemical_formula_sum 'Mn4 W4 Au2'
_space_group_name_H-M_alt 'I 4/m m m'
_space_group_IT_number 139
_space_group_name_Hall '-I 4 2'
_cell_length_a 3.995
_cell_length_b 3.995
_cell_length_c 9.594
_cell_angle_alpha 90.00
_cell_angle_beta 90.00
_cell_angle_gamma 90.00
loop_
_atom_site_label
_atom_site_fract_x
_atom_site_fract_y
_atom_site_fract_z
Mn1 0.000 0.000 0.113
W1 0.000 0.500 0.250
Au1 0.000 0.000 0.500
```



(3)
The following is a DFT calculation (GGA-PBEsol) of a relaxed structure of IrOsRh.

## Properties
DOS(E_F) (states/eV per cell): 16.67
Calculated total energy (eV/atom): -9.329
Offset from the most stable computed form (meV/atom): 742
Energy of formation (meV per atom): 730
Spin magnetization (μB per atom): 0.001

The structure in CIF format:
```
data_IrOsRh
_chemical_formula_sum 'Ir4 Os4 Rh4'
_space_group_name_H-M_alt 'F -4 3 m'
_space_group_IT_number 216
_space_group_name_Hall 'F -4 2 3'
_cell_length_a 5.834
_cell_length_b 5.834
_cell_length_c 5.834
_cell_angle_alpha 90.00
_cell_angle_beta 90.00
_cell_angle_gamma 90.00
loop_
_atom_site_label
_atom_site_fract_x
_atom_site_fract_y
_atom_site_fract_z
Ir1 0.000 0.000 0.000
Os1 0.250 0.250 0.750
Rh1 0.000 0.000 0.500
```



(4)
The following is a DFT calculation (GGA-PBEsol) of a relaxed structure of K2RbPb.

## Properties
DOS(E_F) (states/eV per cell): 14.51
Calculated total energy (eV/atom): -1.854
Energy of formation (meV per atom): -32
Spin magnetization (μB per atom): 0.261

The structure in CIF format:
```
data_K2RbPb
_chemical_formula_sum 'K8 Rb4 Pb4'
_space_group_name_H-M_alt 'F m -3 m'
_space_group_IT_number 225
_space_group_name_Hall '-F 4 2 3'
_cell_length_a 8.864
_cell_length_b 8.864
_cell_length_c 8.864
_cell_angle_alpha 90.00
_cell_angle_beta 90.00
_cell_angle_gamma 90.00
loop_
_atom_site_label
_atom_site_fract_x
_atom_site_fract_y
_atom_site_fract_z
K1 0.250 0.250 0.250
Rb1 0.000 0.000 0.000
Pb1 0.000 0.000 0.500
```



(5)
The following is a DFT calculation (GGA-PBEsol) of a relaxed structure of CeBS3.

## Properties
DOS(E_F) (states/eV per cell): 30.76
Calculated total energy (eV/atom): -6.555
Formation energy from raw total energies (eV per formula unit): -6.01
Spin magnetization (μB per atom): 0.201

The structure in CIF format:
```
data_CeBS3
_chemical_formula_sum 'Ce4 B4 S12'
_space_group_name_H-M_alt 'P n a 21'
_space_group_IT_number 33
_space_group_name_Hall 'P 2c -2n'
_cell_length_a 7.532
_cell_length_b 5.836
_cell_length_c 8.780
_cell_angle_alpha 90.00
_cell_angle_beta 90.00
_cell_angle_gamma 90.00
loop_
_atom_site_label
_atom_site_fract_x
_atom_site_fract_y
_atom_site_fract_z
Ce1 0.115 0.073 0.000
B1 0.149 0.599 0.830
S1 0.001 0.409 0.491
S2 0.176 0.846 0.706
S3 0.197 0.864 0.297
```



(6)
The following is a DFT calculation (GGA-PBEsol) of a relaxed structure of Y2Mn2Co15.

## Properties
DOS(E_F) (states/eV per cell): 45.56
Calculated total energy (eV/atom): -7.914
Energy of formation (meV per atom): -60
Spin magnetization (μB per atom): 1.438

The structure in CIF format:
```
data_Y2Mn2Co15
_chemical_formula_sum 'Y4 Mn4 Co30'
_space_group_name_H-M_alt 'P 63/m m c'
_space_group_IT_number 194
_space_group_name_Hall '-P 6c 2c'
_cell_length_a 8.1926
_cell_length_b 8.1926
_cell_length_c 7.9804
_cell_angle_alpha 90.00
_cell_angle_beta 90.00
_cell_angle_gamma 120.00
loop_
_atom_site_label
_atom_site_fract_x
_atom_site_fract_y
_atom_site_fract_z
Y1 0.0000 0.0000 0.2500
Y2 0.3333 0.6667 0.2500
Mn1 0.3333 0.6667 0.5981
Co1 0.0000 0.5000 0.0000
Co2 0.0471 0.3747 0.7500
Co3 0.1641 0.3282 0.0217
```



(7)
The following is a DFT calculation (GGA-PBEsol) of a relaxed structure of Rb3FeCo.

## Properties
DOS(E_F) (states/eV per cell): 9.27
Calculated total energy (eV/atom): -2.427
Energy of formation (meV per atom): 1528
Spin magnetization (μB per atom): 0.831

The structure in CIF format:
```
data_Rb3FeCo
_chemical_formula_sum 'Rb3 Fe1 Co1'
_space_group_name_H-M_alt 'P m -3 m'
_space_group_IT_number 221
_space_group_name_Hall '-P 4 2 3'
_cell_length_a 6.214
_cell_length_b 6.214
_cell_length_c 6.214
_cell_angle_alpha 90.00
_cell_angle_beta 90.00
_cell_angle_gamma 90.00
loop_
_atom_site_label
_atom_site_fract_x
_atom_site_fract_y
_atom_site_fract_z
Rb1 0.000 0.000 0.500
Fe1 0.500 0.500 0.500
Co1 0.000 0.000 0.000
```



(8)
The following is a DFT calculation (GGA-PBEsol) of a relaxed structure of CaMg2.

## Properties
DOS(E_F) (states/eV per cell): 7.40
Calculated total energy (eV/atom): -1.909
Energy of formation (meV per atom): -53
Spin magnetization (μB per atom): 0.000

The structure in CIF format:
```
data_CaMg2
_chemical_formula_sum 'Ca4 Mg8'
_space_group_name_H-M_alt 'C m c m'
_space_group_IT_number 63
_space_group_name_Hall '-C 2c 2'
_cell_length_a 4.207
_cell_length_b 15.066
_cell_length_c 5.212
_cell_angle_alpha 90.00
_cell_angle_beta 90.00
_cell_angle_gamma 90.00
loop_
_atom_site_label
_atom_site_fract_x
_atom_site_fract_y
_atom_site_fract_z
Ca1 0.000 0.085 0.250
Mg1 0.000 0.243 0.750
Mg2 0.000 0.405 0.250
```



(9)
The following is a DFT calculation (GGA-PBEsol) of a relaxed structure of BaCr2Ag.

## Properties
DOS(E_F) (states/eV per cell): 3.82
Calculated total energy (eV/atom): -5.446
Offset from the most stable computed form (meV/atom): 451
Energy of formation (meV per atom): 1040
Spin magnetization (μB per atom): 2.275

The structure in CIF format:
```
data_BaCr2Ag
_chemical_formula_sum 'Ba2 Cr4 Ag2'
_space_group_name_H-M_alt 'I 4/m m m'
_space_group_IT_number 139
_space_group_name_Hall '-I 4 2'
_cell_length_a 4.645
_cell_length_b 4.645
_cell_length_c 8.660
_cell_angle_alpha 90.00
_cell_angle_beta 90.00
_cell_angle_gamma 90.00
loop_
_atom_site_label
_atom_site_fract_x
_atom_site_fract_y
_atom_site_fract_z
Ba1 0.000 0.000 0.000
Cr1 0.000 0.500 0.250
Ag1 0.000 0.000 0.500
```



(10)
The following is a DFT calculation (GGA-PBEsol) of a relaxed structure of Li2Ti2VO6.

## Properties
DOS(E_F) (states/eV per cell): 8.90
Calculated total energy (eV/atom): -8.186
Offset from the most stable computed form (meV/atom): 47
Formation energy from raw total energies (eV per formula unit): -28.34
Spin magnetization (μB per atom): 0.271

The structure in CIF format:
```
data_Li2Ti2VO6
_chemical_formula_sum 'Li8 Ti8 V4 O24'
_space_group_name_H-M_alt 'C m c e'
_space_group_IT_number 64
_space_group_name_Hall '-C 2ac 2'
_cell_length_a 8.763
_cell_length_b 5.024
_cell_length_c 10.223
_cell_angle_alpha 90.00
_cell_angle_beta 90.00
_cell_angle_gamma 90.00
loop_
_atom_site_label
_atom_site_fract_x
_atom_site_fract_y
_atom_site_fract_z
Li1 0.250 0.095 0.250
Ti1 0.161 0.000 0.000
V1 0.000 0.000 0.500
O1 0.000 0.162 0.896
O2 0.174 0.169 0.609
```



(11)
The following is a DFT calculation (GGA-PBEsol) of a relaxed structure of SiPBr2.

## Properties
DOS(E_F) (states/eV per cell): 8.29
Calculated total energy (eV/atom): -3.229
Offset from the most stable computed form (meV/atom): 746
Formation energy from raw total energies (eV per formula unit): 2.36
Spin magnetization (μB per atom): 0.000

The structure in CIF format:
```
data_SiPBr2
_chemical_formula_sum 'Si3 P3 Br6'
_space_group_name_H-M_alt 'R -3 m'
_space_group_IT_number 166
_space_group_name_Hall '-R 3 2"'
_cell_length_a 3.3958
_cell_length_b 3.3958
_cell_length_c 25.2592
_cell_angle_alpha 90.00
_cell_angle_beta 90.00
_cell_angle_gamma 120.00
loop_
_atom_site_label
_atom_site_fract_x
_atom_site_fract_y
_atom_site_fract_z
Si1 0.0000 0.0000 0.0000
P1 0.0000 0.0000 0.5000
Br1 0.0000 0.0000 0.2589
```